# PaMn2Au (PBE, relaxed)
# Energy above the lowest structure with this stoichiometry   19.3 meV per atom
data_PaMn2Au
_cell_length_a 4.289
_cell_length_b 4.289
_cell_length_c 3.664
_cell_angle_alpha 90.00
_cell_angle_beta 90.00
_cell_angle_gamma 90.00
_space_group_name_H-M_alt 'P 4/m m m'
_space_group_IT_number 123
_space_group_name_Hall '-P 4 2'
loop_
_atom_site_label
_atom_site_fract_x
_atom_site_fract_y
_atom_site_fract_z
Pa1 0.000 0.000 0.000
Mn1 0.000 0.500 0.500
Au1 0.500 0.500 0.000

***

# PaMnAu2 (PBE, relaxed)
# Energy above the lowest structure with this stoichiometry   0.0 meV per atom
data_PaMnAu2
_cell_length_a 3.305
_cell_length_b 3.305
_cell_length_c 7.190
_cell_angle_alpha 90.00
_cell_angle_beta 90.00
_cell_angle_gamma 90.00
_space_group_name_H-M_alt 'P 4/m m m'
_space_group_IT_number 123
_space_group_name_Hall '-P 4 2'
loop_
_atom_site_label
_atom_site_fract_x
_atom_site_fract_y
_atom_site_fract_z
Pa1 0.000 0.000 0.000
Mn1 0.000 0.000 0.500
Au1 0.500 0.500 0.289

***

# PaMn2Au (PBE, relaxed)
# Energy above the lowest structure with this stoichiometry   166.7 meV per atom
data_PaMn2Au
_cell_length_a 3.395
_cell_length_b 3.395
_cell_length_c 6.026
_cell_angle_alpha 90.00
_cell_angle_beta 90.00
_cell_angle_gamma 90.00
_space_group_name_H-M_alt 'P 4/m m m'
_space_group_IT_number 123
_space_group_name_Hall '-P 4 2'
loop_
_atom_site_label
_atom_site_fract_x
_atom_site_fract_y
_atom_site_fract_z
Pa1 0.000 0.000 0.000
Mn1 0.500 0.500 0.240
Au1 0.000 0.000 0.500

***

A plane-wave DFT calculation with PBE was carried out for PaMnRhAu after structural relaxation.

CIF file:
```
data_PaMnRhAu
_cell_length_a 6.759
_cell_length_b 6.759
_cell_length_c 6.759
_cell_angle_alpha 90.00
_cell_angle_beta 90.00
_cell_angle_gamma 90.00
_space_group_name_H-M_alt 'F -4 3 m'
_space_group_IT_number 216
_space_group_name_Hall 'F -4 2 3'
loop_
_atom_site_label
_atom_site_fract_x
_atom_site_fract_y
_atom_site_fract_z
Pa1 0.000 0.000 0.000
Mn1 0.000 0.000 0.500
Rh1 0.250 0.250 0.250
Au1 0.250 0.250 0.750
```

***

A plane-wave DFT calculation with PBE was carried out for PaMnSnAu after structural relaxation.

CIF file:
```
data_PaMnSnAu
_cell_length_a 6.925
_cell_length_b 6.925
_cell_length_c 6.925
_cell_angle_alpha 90.00
_cell_angle_beta 90.00
_cell_angle_gamma 90.00
_space_group_name_H-M_alt 'F -4 3 m'
_space_group_IT_number 216
_space_group_name_Hall 'F -4 2 3'
loop_
_atom_site_label
_atom_site_fract_x
_atom_site_fract_y
_atom_site_fract_z
Pa1 0.000 0.000 0.000
Mn1 0.250 0.250 0.750
Sn1 0.000 0.000 0.500
Au1 0.250 0.250 0.250
```

***

A plane-wave DFT calculation with PBE was carried out for Mn2PbAu after structural relaxation.

CIF file:
```
data_Mn2PbAu
_cell_length_a 3.1153
_cell_length_b 3.1153
_cell_length_c 28.1170
_cell_angle_alpha 90.00
_cell_angle_beta 90.00
_cell_angle_gamma 120.00
_space_group_name_H-M_alt 'R 3 m'
_space_group_IT_number 160
_space_group_name_Hall 'R 3 -2"'
loop_
_atom_site_label
_atom_site_fract_x
_atom_site_fract_y
_atom_site_fract_z
Mn1 0.0000 0.0000 0.0000
Mn2 0.0000 0.0000 0.2602
Pb1 0.0000 0.0000 0.5022
Au1 0.0000 0.0000 0.7396
```

***

Sequential uncorrected energy output: -0.2868, -0.2379, -0.2814, -0.2767, -0.2396, -0.2172 hartree per atom
Sequential M_tot output: 3.76, 3.16, 4.37, 4.30, 2.75, 7.60 μB per formula unit